No. 1
GGA-PBE KTlAgBi, optimized geometry; crystal system = cubic; energy of formation = -0.054 eV per atom
1.0
5.514 0.000 0.000
2.757 4.775 0.000
2.757 1.592 4.502
K Ag Tl Bi
1 1 1 1
Direct
0.750 0.750 0.750 K
0.500 0.500 0.500 Ag
0.000 0.000 0.000 Tl
0.250 0.250 0.250 Bi


No. 2
GGA-PBE ScZn2Mo, optimized geometry; distance to the lowest polymorph of the same formula = 196 meV per atom; crystal system = tetragonal; energy of formation = 0.124 eV per atom
1.0
3.411 0.000 0.000
0.000 3.411 0.000
0.000 0.000 5.860
Zn Sc Mo
2 1 1
Direct
0.500 0.500 0.260 Zn
0.000 0.000 0.018 Zn
0.500 0.500 0.739 Sc
0.000 0.000 0.483 Mo


Among the records above, which one has the lowest energy of formation?
KTlAgBi


Look up the energy of formation of the second one.
0.124 eV per atom


Which of these has the lowest energy of formation?
KTlAgBi


Look up the energy of formation of the second one.
0.124 eV per atom